1.
Material: Y2Sc4C
Method: DFT, GGA-PBE
State: relaxed

Properties
**Crystal system**: tetragonal

a b c (Å): 4.466 4.466 9.576
angles (deg): 76.52 76.52 90.00
Element x y z (fractional)
Sc 0.877 0.877 0.246
Sc 0.500 0.000 0.000
Sc 0.000 0.500 0.000
Sc 0.123 0.123 0.754
Y 0.686 0.686 0.627
Y 0.314 0.314 0.373
C 0.000 0.000 0.000

***

2.
Material: YScC3
Method: DFT, GGA-PBE
State: relaxed

Properties
**Crystal system**: cubic

a b c (Å): 4.352 4.352 4.352
angles (deg): 90.00 90.00 90.00
Element x y z (fractional)
C 0.000 0.500 0.000
C 0.500 0.000 0.000
C 0.000 0.000 0.500
Y 0.000 0.000 0.000
Sc 0.500 0.500 0.500

***

3.
Material: Y3ScC2
Method: DFT, GGA-PBE
State: relaxed

Properties
**Crystal system**: monoclinic

a b c (Å): 3.553 8.055 9.586
angles (deg): 87.66 79.32 77.26
Element x y z (fractional)
C 0.122 0.624 0.132
C 0.878 0.376 0.868
C 0.622 0.130 0.626
C 0.378 0.870 0.374
Y 0.938 0.925 0.199
Y 0.184 0.180 0.452
Y 0.816 0.820 0.548
Y 0.309 0.329 0.053
Y 0.062 0.075 0.801
Y 0.691 0.671 0.947
Sc 0.442 0.405 0.711
Sc 0.558 0.595 0.289

***

4.
Material: YScC2
Method: DFT, GGA-PBE
State: relaxed

Properties
**Crystal system**: cubic

a b c (Å): 4.245 4.245 4.245
angles (deg): 60.00 60.00 60.00
Element x y z (fractional)
Sc 0.000 0.000 0.000
C 0.750 0.750 0.750
C 0.250 0.250 0.250
Y 0.500 0.500 0.500

***

5.
Material: Y3ScC
Method: DFT, GGA-PBE
State: relaxed

Properties
**Crystal system**: cubic

a b c (Å): 5.016 5.016 5.016
angles (deg): 90.00 90.00 90.00
Element x y z (fractional)
Y 0.500 0.000 0.000
Y 0.000 0.000 0.500
Y 0.000 0.500 0.000
C 0.000 0.000 0.000
Sc 0.500 0.500 0.500

***

6.
Material: YScC
Method: DFT, GGA-PBE
State: relaxed

Properties
**Crystal system**: monoclinic

a b c (Å): 3.492 5.999 6.243
angles (deg): 101.43 106.24 90.00
Element x y z (fractional)
Sc 0.149 0.876 0.297
Sc 0.851 0.124 0.703
Y 0.632 0.365 0.264
Y 0.368 0.635 0.736
C 0.253 0.240 0.506
C 0.747 0.760 0.494

***

7.
Material: YScC2
Method: DFT, GGA-PBE
State: relaxed

Properties
**Crystal system**: tetragonal

a b c (Å): 5.087 5.087 6.694
angles (deg): 67.67 67.67 90.00
Element x y z (fractional)
C 0.154 0.625 0.250
C 0.375 0.404 0.750
C 0.596 0.125 0.250
C 0.875 0.846 0.750
Sc 0.500 0.500 0.000
Sc 0.250 0.750 0.500
Y 0.000 0.000 0.000
Y 0.750 0.250 0.500

***

8.
Material: YScC3
Method: DFT, GGA-PBE
State: relaxed

Properties
**Crystal system**: cubic

a b c (Å): 4.168 4.168 4.168
angles (deg): 90.00 90.00 90.00
Element x y z (fractional)
C 0.000 0.500 0.000
C 0.500 0.000 0.000
C 0.000 0.000 0.500
Sc 0.000 0.000 0.000
Y 0.500 0.500 0.500

***

9.
Material: YScC2
Method: DFT, GGA-PBE
State: relaxed

Properties
**Crystal system**: trigonal

a b c (Å): 3.473 3.473 5.958
angles (deg): 73.05 73.05 60.00
Element x y z (fractional)
Y 0.500 0.500 0.500
Sc 0.000 0.000 0.000
C 0.257 0.257 0.230
C 0.743 0.743 0.770

***

10.
Material: YZrSc2C
Method: DFT, GGA-PBE
State: relaxed

Properties
**Crystal system**: tetragonal

a b c (Å): 4.677 4.677 4.788
angles (deg): 90.00 90.00 90.00
Element x y z (fractional)
Zr 0.000 0.000 0.500
Y 0.500 0.500 0.500
Sc 0.000 0.500 0.000
Sc 0.500 0.000 0.000
C 0.000 0.000 0.000

***

11.
Material: YZrSc2C
Method: DFT, GGA-PBE
State: relaxed

Properties
**Crystal system**: tetragonal

a b c (Å): 5.335 4.377 5.335
angles (deg): 90.00 90.00 90.00
Element x y z (fractional)
C 0.000 0.500 0.000
Sc 0.000 0.000 0.500
Sc 0.500 0.000 0.000
Zr 0.000 0.000 0.000
Y 0.500 0.500 0.500

***

12.
Material: Sc6ZnC4
Method: DFT, GGA-PBE
State: relaxed

Properties
**Crystal system**: orthorhombic

a b c (Å): 3.415 5.811 17.898
angles (deg): 90.00 90.00 107.09
Element x y z (fractional)
C 0.595 0.191 0.630
C 0.863 0.727 0.960
C 0.595 0.191 0.870
C 0.405 0.809 0.130
C 0.137 0.273 0.460
C 0.863 0.727 0.540
C 0.137 0.273 0.040
C 0.405 0.809 0.370
Sc 0.029 0.058 0.357
Sc 0.343 0.687 0.250
Sc 0.971 0.942 0.857
Sc 0.029 0.058 0.143
Sc 0.657 0.313 0.750
Sc 0.229 0.457 0.925
Sc 0.500 0.000 0.000
Sc 0.971 0.942 0.643
Sc 0.771 0.543 0.075
Sc 0.229 0.457 0.575
Sc 0.771 0.543 0.425
Sc 0.500 0.000 0.500
Zn 0.641 0.282 0.250
Zn 0.359 0.718 0.750

***

| no. | formation energy (eV per atom) | raw total energy (eV for the cell shown) |
| --- | --- | --- |
| 1 | -0.001 | -47.485 |
| 2 | 1.935 | -30.794 |
| 3 | -0.315 | -92.124 |
| 4 | 0.509 | -29.209 |
| 5 | -0.035 | -35.121 |
| 6 | -0.366 | -46.234 |
| 7 | 0.473 | -58.701 |
| 8 | 1.195 | -34.493 |
| 9 | -0.013 | -31.295 |
| 10 | -0.105 | -37.426 |
| 11 | 1.031 | -31.742 |
| 12 | -0.370 | -160.457 |